DFT (GGA-PBE) results for a relaxed Pm2GaNi16 crystal.

```
data_Pm2GaNi16
_chemical_formula_sum 'Pm6 Ga3 Ni48'
_symmetry_space_group_name_H-M 'R 3 m'
_symmetry_Int_Tables_number 160
_symmetry_space_group_name_Hall 'R 3 -2"'
_cell_length_a 8.3597
_cell_length_b 8.3597
_cell_length_c 12.2041
_cell_angle_alpha 90.00
_cell_angle_beta 90.00
_cell_angle_gamma 120.00
loop_
_atom_site_label
_atom_site_type_symbol
_atom_site_fract_x
_atom_site_fract_y
_atom_site_fract_z
Pm1 Pm 0.0000 0.0000 0.0000
Pm2 Pm 0.0000 0.0000 0.3134
Ga1 Ga 0.0000 0.0000 0.7463
Ni1 Ni 0.0000 0.0000 0.5533
Ni2 Ni 0.0001 0.2948 0.6538
Ni3 Ni 0.0023 0.5011 0.4991
Ni4 Ni 0.1673 0.3345 0.4878
Ni5 Ni 0.1680 0.3360 0.1433
```

DFT (GGA-PBE) results for a relaxed Pm2Ga2Ni15 crystal.

```
data_Pm2Ga2Ni15
_chemical_formula_sum 'Pm6 Ga6 Ni45'
_symmetry_space_group_name_H-M 'R -3 m'
_symmetry_Int_Tables_number 166
_symmetry_space_group_name_Hall '-R 3 2"'
_cell_length_a 8.3853
_cell_length_b 8.3853
_cell_length_c 12.3237
_cell_angle_alpha 90.00
_cell_angle_beta 90.00
_cell_angle_gamma 120.00
loop_
_atom_site_label
_atom_site_type_symbol
_atom_site_fract_x
_atom_site_fract_y
_atom_site_fract_z
Pm1 Pm 0.0000 0.0000 0.1513
Ga1 Ga 0.0000 0.0000 0.3972
Ni1 Ni 0.0000 0.2951 0.5000
Ni2 Ni 0.0000 0.5000 0.0000
Ni3 Ni 0.0031 0.5016 0.3451
```

# GGA-PBE PmGa3Ni, relaxed
data_PmGa3Ni
_chemical_formula_sum 'Pm2 Ga6 Ni2'
_symmetry_space_group_name_H-M 'I 4 m m'
_symmetry_Int_Tables_number 107
_symmetry_space_group_name_Hall 'I 4 -2'
_cell_length_a 4.257
_cell_length_b 4.257
_cell_length_c 10.153
_cell_angle_alpha 90.00
_cell_angle_beta 90.00
_cell_angle_gamma 90.00
loop_
_atom_site_label
_atom_site_type_symbol
_atom_site_fract_x
_atom_site_fract_y
_atom_site_fract_z
Pm1 Pm 0.000 0.000 0.000
Ga1 Ga 0.000 0.000 0.585
Ga2 Ga 0.000 0.500 0.251
Ni1 Ni 0.000 0.000 0.356
# Distance to the lowest polymorph of the same formula   0.000 eV/atom

DFT (GGA-PBE) results for a relaxed Pm2Ga5Ni3 crystal.

```
data_Pm2Ga5Ni3
_chemical_formula_sum 'Pm8 Ga20 Ni12'
_symmetry_space_group_name_H-M 'I b a m'
_symmetry_Int_Tables_number 72
_symmetry_space_group_name_Hall '-I 2 2c'
_cell_length_a 9.995
_cell_length_b 12.350
_cell_length_c 5.627
_cell_angle_alpha 90.00
_cell_angle_beta 90.00
_cell_angle_gamma 90.00
loop_
_atom_site_label
_atom_site_type_symbol
_atom_site_fract_x
_atom_site_fract_y
_atom_site_fract_z
Pm1 Pm 0.224 0.139 0.000
Ga1 Ga 0.000 0.000 0.250
Ga2 Ga 0.000 0.287 0.250
Ga3 Ga 0.167 0.408 0.000
Ni1 Ni 0.000 0.500 0.250
Ni2 Ni 0.097 0.142 0.500
```

DFT (GGA-PBE) results for a relaxed PmGa9Ni2 crystal.

```
data_PmGa9Ni2
_chemical_formula_sum 'Pm4 Ga36 Ni8'
_symmetry_space_group_name_H-M 'I 41/a m d'
_symmetry_Int_Tables_number 141
_cell_length_a 10.388
_cell_length_b 10.388
_cell_length_c 7.570
_cell_angle_alpha 90.00
_cell_angle_beta 90.00
_cell_angle_gamma 90.00
loop_
_symmetry_equiv_pos_as_xyz
'x,y,z'
'-x,-y,-z'
'-y+1/4,x+3/4,z+1/4'
'y+1/4,-x+3/4,-z+1/4'
'-x+1/2,-y,z+1/2'
'x+1/2,y,-z+1/2'
'y+1/4,-x+1/4,z+3/4'
'-y+1/4,x+1/4,-z+3/4'
'x,-y,-z'
'-x,y,z'
'-y+1/4,-x+1/4,-z+3/4'
'y+1/4,x+1/4,z+3/4'
'-x+1/2,y,-z+1/2'
'x+1/2,-y,z+1/2'
'y+1/4,x+3/4,-z+1/4'
'-y+1/4,-x+3/4,z+1/4'
'x+1/2,y+1/2,z+1/2'
'-x+1/2,-y+1/2,-z+1/2'
'-y+3/4,x+1/4,z+3/4'
'y+3/4,-x+1/4,-z+3/4'
'-x,-y+1/2,z'
'x,y+1/2,-z'
'y+3/4,-x+3/4,z+1/4'
'-y+3/4,x+3/4,-z+1/4'
'x+1/2,-y+1/2,-z+1/2'
'-x+1/2,y+1/2,z+1/2'
'-y+3/4,-x+3/4,-z+1/4'
'y+3/4,x+3/4,z+1/4'
'-x,y+1/2,-z'
'x,-y+1/2,z'
'y+3/4,x+1/4,-z+3/4'
'-y+3/4,-x+1/4,z+3/4'
loop_
_atom_site_label
_atom_site_type_symbol
_atom_site_fract_x
_atom_site_fract_y
_atom_site_fract_z
Pm1 Pm 0.000 0.250 0.375
Ga1 Ga 0.000 0.250 0.875
Ga2 Ga 0.122 0.051 0.683
Ni1 Ni 0.000 0.000 0.000
```

# GGA-PBE PmGa3Ni, relaxed
data_PmGa3Ni
_chemical_formula_sum 'Pm1 Ga3 Ni1'
_symmetry_space_group_name_H-M 'P m -3 m'
_symmetry_Int_Tables_number 221
_symmetry_space_group_name_Hall '-P 4 2 3'
_cell_length_a 4.593
_cell_length_b 4.593
_cell_length_c 4.593
_cell_angle_alpha 90.00
_cell_angle_beta 90.00
_cell_angle_gamma 90.00
loop_
_atom_site_label
_atom_site_type_symbol
_atom_site_fract_x
_atom_site_fract_y
_atom_site_fract_z
Pm1 Pm 0.000 0.000 0.000
Ga1 Ga 0.000 0.500 0.500
Ni1 Ni 0.500 0.500 0.500
# Distance to the lowest polymorph of the same formula   0.224 eV/atom

In order of appearance, total magnetization = 0.244, 0.189, 0.000, 0.000, 0.000, 0.000 μB/atom.
In order of appearance, energy of formation = -0.224, -0.246, -0.610, -0.608, -0.251, -0.387 eV per atom.
In order of appearance, DOS at the Fermi energy = 74.93, 74.00, 5.29, 20.90, 21.17, 3.22 states/eV/cell.